(1)
GeBiP2Cl, relaxed, DFT PBE; calculated volume = 147.2 Å³/cell; uncorrected formation energy = 0.893 eV per atom
1.0
5.302 0.000 0.000
0.000 5.302 0.000
0.000 0.000 5.237
Ge Bi P Cl
1 1 2 1
direct
0.000 0.000 0.000 Ge
0.500 0.500 0.500 Bi
0.000 0.500 0.500 P
0.500 0.000 0.500 P
0.500 0.500 0.000 Cl

(2)
Ag2H5Pt, relaxed, DFT PBE; E = -28.0 eV/cell; calculated volume = 83.3 Å³/cell
1.0
3.865 0.000 0.000
1.917 4.653 0.000
1.931 0.833 4.630
Ag H Pt
2 5 1
direct
0.203 0.240 0.357 Ag
0.797 0.760 0.643 Ag
0.032 0.686 0.249 H
0.236 0.751 0.775 H
0.500 0.000 0.000 H
0.764 0.249 0.225 H
0.968 0.314 0.751 H
0.000 0.000 0.000 Pt

(3)
AsOsW, relaxed, DFT PBE; calculated volume = 48.3 Å³/cell; formation energy = 1.847 eV per formula unit
1.0
0.000 2.354 6.670
1.539 0.000 6.670
1.539 2.354 0.000
As Os W
1 1 1
direct
0.000 0.000 0.000 As
0.674 0.674 0.326 Os
0.330 0.330 0.670 W

(4)
BeTl2Re, relaxed, DFT PBE; calculated volume = 153.1 Å³/cell; formation energy = 5.220 eV per formula unit
1.0
-3.708 3.708 2.784
3.708 -3.708 2.784
3.708 3.708 -2.784
Be Tl Re
2 4 2
direct
0.000 0.000 0.000 Be
0.750 0.250 0.500 Be
0.086 0.125 0.461 Tl
0.375 0.914 0.039 Tl
0.664 0.625 0.539 Tl
0.875 0.336 0.961 Tl
0.250 0.750 0.500 Re
0.500 0.500 0.000 Re

(5)
Ac6Te3Se2S, relaxed, DFT PBE; calculated volume = 406.9 Å³/cell; uncorrected formation energy = -1.703 eV per atom
1.0
3.933 -6.815 0.000
3.933 6.815 0.000
-2.623 0.000 7.588
Ac Te Se S
6 3 2 1
direct
0.073 0.398 0.219 Ac
0.251 0.251 0.778 Ac
0.398 0.073 0.219 Ac
0.602 0.927 0.781 Ac
0.749 0.749 0.222 Ac
0.927 0.602 0.781 Ac
0.170 0.830 0.500 Te
0.500 0.500 0.500 Te
0.830 0.170 0.500 Te
0.334 0.666 0.000 Se
0.666 0.334 0.000 Se
0.000 0.000 0.000 S

(6)
TbEr4Pb5, relaxed, DFT PBE; calculated volume = 307.2 Å³/cell; formation energy = -2.978 eV per formula unit
1.0
-4.952 4.952 3.132
4.952 -4.952 3.132
4.952 4.952 -3.132
Tb Er Pb
1 4 5
direct
0.000 0.000 0.000 Tb
0.203 0.401 0.600 Er
0.401 0.801 0.198 Er
0.604 0.203 0.802 Er
0.801 0.604 0.400 Er
0.102 0.700 0.797 Pb
0.305 0.102 0.402 Pb
0.500 0.500 0.000 Pb
0.700 0.903 0.598 Pb
0.903 0.305 0.203 Pb

(7)
NaCa6Mg3, relaxed, DFT PBE; calculated volume = 697.9 Å³/cell; formation energy = -0.187 eV per formula unit
1.0
10.401 0.000 0.000
0.000 5.667 0.000
-2.291 0.000 11.839
Na Ca Mg
2 12 6
direct
0.049 0.250 0.406 Na
0.951 0.750 0.594 Na
0.072 0.750 0.905 Ca
0.153 0.750 0.209 Ca
0.188 0.250 0.723 Ca
0.279 0.750 0.524 Ca
0.371 0.250 0.314 Ca
0.459 0.750 0.096 Ca
0.541 0.250 0.904 Ca
0.629 0.750 0.686 Ca
0.721 0.250 0.476 Ca
0.812 0.750 0.277 Ca
0.847 0.250 0.791 Ca
0.928 0.250 0.095 Ca
0.246 0.250 0.021 Mg
0.363 0.750 0.810 Mg
0.463 0.250 0.610 Mg
0.537 0.750 0.390 Mg
0.637 0.250 0.190 Mg
0.754 0.750 0.979 Mg

(8)
Tb3Sm2Dy6Pb, relaxed, DFT PBE; calculated volume = 373.8 Å³/cell; formation energy = -0.750 eV per formula unit
1.0
3.054 -5.293 0.000
3.054 5.293 0.000
-2.051 0.000 11.561
Tb Sm Dy Pb
3 2 6 1
direct
0.000 0.000 0.000 Tb
0.332 0.668 0.000 Tb
0.668 0.332 0.000 Tb
0.166 0.834 0.500 Sm
0.834 0.166 0.500 Sm
0.090 0.418 0.251 Dy
0.255 0.255 0.751 Dy
0.418 0.090 0.251 Dy
0.582 0.910 0.749 Dy
0.745 0.745 0.249 Dy
0.910 0.582 0.749 Dy
0.500 0.500 0.500 Pb

(9)
NdGa3CuIr, relaxed, DFT PBE; calculated volume = 232.3 Å³/cell; formation energy = -1.968 eV per formula unit
1.0
3.091 -5.839 0.000
3.091 5.839 0.000
0.000 0.000 6.437
Nd Ga Cu Ir
2 6 2 2
direct
0.224 0.776 0.750 Nd
0.776 0.224 0.250 Nd
0.215 0.215 0.000 Ga
0.215 0.215 0.500 Ga
0.327 0.673 0.250 Ga
0.673 0.327 0.750 Ga
0.785 0.785 0.000 Ga
0.785 0.785 0.500 Ga
0.469 0.531 0.750 Cu
0.531 0.469 0.250 Cu
0.122 0.878 0.250 Ir
0.878 0.122 0.750 Ir

(10)
Ni3TeMo, relaxed, DFT PBE; calculated volume = 96.2 Å³/cell; uncorrected formation energy = 1.194 eV per atom
1.0
4.581 0.000 0.000
0.000 4.581 0.000
0.000 0.000 4.581
Ni Te Mo
3 1 1
direct
0.000 0.000 0.500 Ni
0.000 0.500 0.000 Ni
0.500 0.000 0.000 Ni
0.000 0.000 0.000 Te
0.500 0.500 0.500 Mo

(11)
MoPb2, relaxed, DFT PBE; calculated volume = 148.5 Å³/cell; formation energy = 2.818 eV per formula unit
1.0
5.252 0.000 0.000
-2.626 4.548 0.000
0.000 0.000 6.215
Mo Pb
2 4
direct
0.333 0.667 0.250 Mo
0.667 0.333 0.750 Mo
0.000 0.000 0.000 Pb
0.000 0.000 0.500 Pb
0.333 0.667 0.750 Pb
0.667 0.333 0.250 Pb

(12)
ZrCdS2N, relaxed, DFT PBE; calculated volume = 107.7 Å³/cell; uncorrected formation energy = -0.206 eV per atom
1.0
5.110 0.000 0.000
0.000 5.110 0.000
0.000 0.000 4.122
Zr Cd S N
1 1 2 1
direct
0.000 0.000 0.000 Zr
0.500 0.500 0.500 Cd
0.000 0.500 0.000 S
0.500 0.000 0.000 S
0.000 0.000 0.500 N

(13)
TaAlAu2, relaxed, DFT PBE; calculated volume = 70.3 Å³/cell; formation energy = -0.434 eV per formula unit
1.0
1.494 0.863 9.095
-1.494 0.863 9.095
0.000 -1.725 9.095
Ta Al Au
1 1 2
direct
0.000 0.000 0.000 Ta
0.750 0.750 0.750 Al
0.250 0.250 0.250 Au
0.493 0.493 0.493 Au

(14)
BaCdFe, relaxed, DFT PBE; calculated volume = 81.8 Å³/cell; formation energy = 1.265 eV per formula unit
1.0
-1.855 1.855 5.943
1.855 -1.855 5.943
1.855 1.855 -5.943
Ba Cd Fe
1 1 1
direct
0.000 0.000 0.000 Ba
0.716 0.716 0.000 Cd
0.294 0.294 0.000 Fe

(15)
CeTaVGe2, relaxed, DFT PBE; calculated volume = 95.5 Å³/cell; formation energy = -2.376 eV per formula unit
1.0
-2.000 2.000 5.966
2.000 -2.000 5.966
2.000 2.000 -5.966
Ce Ta V Ge
1 1 1 2
direct
0.000 0.000 0.000 Ce
0.250 0.750 0.500 Ta
0.750 0.250 0.500 V
0.392 0.392 0.000 Ge
0.608 0.608 0.000 Ge

(16)
AlRuSe4, relaxed, DFT PBE; calculated volume = 127.6 Å³/cell; uncorrected formation energy = 0.966 eV per atom
1.0
0.000 3.995 3.995
3.995 0.000 3.995
3.995 3.995 0.000
Al Ru Se
1 1 4
direct
0.000 0.000 0.000 Al
0.750 0.750 0.750 Ru
0.376 0.376 0.376 Se
0.376 0.376 0.873 Se
0.376 0.873 0.376 Se
0.873 0.376 0.376 Se

(17)
BiSe3N, relaxed, DFT PBE; calculated volume = 96.4 Å³/cell; uncorrected formation energy = 0.674 eV per atom
1.0
4.586 0.000 0.000
0.000 4.586 0.000
0.000 0.000 4.586
Bi Se N
1 3 1
direct
0.000 0.000 0.000 Bi
0.000 0.500 0.500 Se
0.500 0.000 0.500 Se
0.500 0.500 0.000 Se
0.500 0.500 0.500 N

(18)
Gd2GaI, relaxed, DFT PBE; calculated volume = 107.8 Å³/cell; uncorrected formation energy = -0.651 eV per atom
1.0
3.614 0.000 0.000
0.000 3.614 0.000
0.000 0.000 8.257
Gd Ga I
2 1 1
direct
0.000 0.000 0.220 Gd
0.000 0.000 0.780 Gd
0.500 0.500 0.000 Ga
0.500 0.500 0.500 I

(19)
ZrTaCo4, relaxed, DFT PBE; calculated volume = 88.9 Å³/cell; formation energy = 1.185 eV per formula unit
1.0
2.893 0.000 0.000
0.000 3.730 0.000
0.000 0.000 8.242
Zr Ta Co
1 1 4
direct
0.000 0.000 0.000 Zr
0.500 0.500 0.500 Ta
0.000 0.500 0.236 Co
0.000 0.500 0.764 Co
0.500 0.000 0.289 Co
0.500 0.000 0.711 Co

(20)
Ba12HPd5, relaxed, DFT PBE; E = -59.4 eV/cell; calculated volume = 822.7 Å³/cell
1.0
3.980 -6.903 0.000
3.980 6.903 0.000
-2.563 0.000 14.972
Ba H Pd
12 1 5
direct
0.037 0.710 0.614 Ba
0.129 0.462 0.882 Ba
0.204 0.204 0.117 Ba
0.290 0.963 0.386 Ba
0.365 0.365 0.614 Ba
0.462 0.129 0.882 Ba
0.538 0.871 0.118 Ba
0.635 0.635 0.386 Ba
0.710 0.037 0.614 Ba
0.796 0.796 0.883 Ba
0.871 0.538 0.118 Ba
0.963 0.290 0.386 Ba
0.000 0.000 0.500 H
0.167 0.833 0.000 Pd
0.334 0.666 0.500 Pd
0.500 0.500 0.000 Pd
0.666 0.334 0.500 Pd
0.833 0.167 0.000 Pd

(21)
Li5PrAg6, relaxed, DFT PBE; calculated volume = 223.6 Å³/cell; formation energy = -2.032 eV per formula unit
1.0
4.739 0.000 0.000
0.000 6.631 0.000
-2.237 0.000 7.115
Li Pr Ag
5 1 6
direct
0.000 0.000 0.000 Li
0.328 0.500 0.651 Li
0.339 0.000 0.681 Li
0.661 0.000 0.319 Li
0.672 0.500 0.349 Li
0.000 0.500 0.000 Pr
0.178 0.226 0.356 Ag
0.178 0.774 0.356 Ag
0.500 0.216 0.000 Ag
0.500 0.784 0.000 Ag
0.822 0.226 0.644 Ag
0.822 0.774 0.644 Ag

(22)
PaTl2GaBr8, relaxed, DFT PBE; calculated volume = 511.1 Å³/cell; uncorrected formation energy = -1.081 eV per atom
1.0
7.193 0.000 0.000
0.000 9.343 0.000
-0.331 0.000 7.605
Pa Tl Ga Br
1 2 1 8
direct
0.000 0.000 0.000 Pa
0.500 0.270 0.500 Tl
0.500 0.730 0.500 Tl
0.000 0.500 0.000 Ga
0.198 0.000 0.311 Br
0.223 0.212 0.877 Br
0.223 0.788 0.877 Br
0.261 0.500 0.312 Br
0.739 0.500 0.688 Br
0.777 0.212 0.123 Br
0.777 0.788 0.123 Br
0.802 0.000 0.689 Br